Entry 1:
A plane-wave DFT calculation with PBE-GGA was carried out for a relaxed structure of YTcPt2.

Cell: 2.9105 4.0764 5.9121 Å, 90.00 90.00 90.00°
Last column: nearest neighbours and their distance in Å.
Positions (direct):
1 Pt 0.0000 0.0000 0.0246  3 Pt 2.67-2.91, 4 Tc 2.84, 4 Y 2.98
2 Pt 0.0000 0.0000 0.4754  3 Pt 2.67-2.91, 4 Tc 2.84, 4 Y 2.98
3 Y 0.5000 0.5000 0.7500  2 Y 2.91, 2 Tc 2.96, 8 Pt 2.98
4 Tc 0.5000 0.5000 0.2500  8 Pt 2.84, 2 Tc 2.91, 2 Y 2.96

Values from the calculation:
As for the formation energy: -0.4144 eV/atom. Its energy above the most stable polymorph in this dataset is 0.0318 eV per atom. For the calculated total energy, the calculation gives -30.57 eV/cell. Its symmetry is Pmmm, No. 47.

Entry 2:
A plane-wave DFT calculation with PBE-GGA was carried out for a relaxed structure of HgBr3N2.

Cell: 7.1142 12.8529 5.5394 Å, 128.80 84.80 87.24°
Last column: nearest neighbours and their distance in Å.
Positions (direct):
1 N 0.2689 0.2788 0.2392  1 Br 1.86
2 N 0.7311 0.7212 0.7608  1 Br 1.86
3 N 0.8059 0.2444 0.7887  2 Br 1.94-2.01, 1 Hg 2.10
4 N 0.1941 0.7556 0.2113  2 Br 1.94-2.01, 1 Hg 2.10
5 Hg 0.0328 0.2496 0.0118  2 N 2.10
6 Hg 0.9672 0.7504 0.9882  2 N 2.10
7 Br 0.4378 0.7596 0.0039  2 N 2.01-2.23
8 Br 0.2186 0.4175 0.6704  1 N 1.86
9 Br 0.7814 0.5825 0.3296  1 N 1.86
10 Br 0.8574 0.0892 0.3457  1 N 1.94
11 Br 0.1426 0.9108 0.6543  1 N 1.94
12 Br 0.5622 0.2404 0.9961  2 N 2.01-2.23

Values from the calculation:
The formation energy (no corrections) is 0.8769 eV per atom. For the calculated total energy, the calculation gives -33.42 eV/cell. Its symmetry is P-1, No. 2.

Entry 3:
A plane-wave DFT calculation with PBE-GGA was carried out for a relaxed structure of In4Sn2Pd.

Cell: 5.1813 5.1813 8.5563 Å, 72.38 72.38 90.00°
Last column: nearest neighbours and their distance in Å.
Positions (direct):
1 Pd 0.0000 0.0000 0.0000  6 In 2.59-2.70
2 In 0.8251 0.8251 0.3498  1 Pd 2.70, 1 Sn 2.92
3 In 0.1749 0.1749 0.6502  1 Pd 2.70, 1 Sn 2.92
4 In 0.5000 0.0000 0.0000  2 Pd 2.59
5 In 0.0000 0.5000 0.0000  2 Pd 2.59
6 Sn 0.6366 0.6366 0.7269  1 In 2.92
7 Sn 0.3634 0.3634 0.2731  1 In 2.92

Values from the calculation:
As for the formation energy: 0.0864 eV/atom. For the calculated total energy, the calculation gives -23.55 eV/cell. Its symmetry is I4/mmm, No. 139.

Entry 4:
A plane-wave DFT calculation with PBE-GGA was carried out for a relaxed structure of Y3Ga2Co7.

Cell: 5.1519 5.1519 8.4128 Å, 72.17 72.17 60.00°
Last column: nearest neighbours and their distance in Å.
Positions (direct):
1 Ga 0.6670 0.6670 0.9989  6 Co 2.46-2.47
2 Ga 0.3330 0.3330 0.0011  6 Co 2.46-2.47
3 Co 0.4177 0.4177 0.2497  2 Ga 2.46-2.47, 5 Co 2.46-2.59
4 Co 0.5823 0.5823 0.7503  2 Ga 2.46-2.47, 5 Co 2.46-2.59
5 Co 0.9149 0.4177 0.2497  2 Ga 2.46-2.47, 5 Co 2.46-2.59
6 Co 0.5000 0.5000 0.5000  6 Co 2.46
7 Co 0.5823 0.0851 0.7503  2 Ga 2.46-2.47, 5 Co 2.46-2.59
8 Co 0.4177 0.9149 0.2497  2 Ga 2.46-2.47, 5 Co 2.46-2.59
9 Co 0.0851 0.5823 0.7503  2 Ga 2.46-2.47, 5 Co 2.46-2.59
10 Y 0.8597 0.8597 0.4209  12 Co 2.91-3.04, 3 Y 3.22
11 Y 0.1403 0.1403 0.5791  12 Co 2.91-3.04, 3 Y 3.22
12 Y 0.0000 0.0000 0.0000  6 Ga 2.97, 12 Co 3.24, 2 Y 3.31

Values from the calculation:
As for the formation energy: -0.2934 eV/atom. For the calculated total energy, the calculation gives -78.71 eV/cell. Its symmetry is R-3m, No. 166.

Entry 5:
A plane-wave DFT calculation with PBE-GGA was carried out for a relaxed structure of Tl2PtI4Br2.

Cell: 8.0821 7.6210 7.6210 Å, 62.21 58.63 58.63°
Last column: nearest neighbours and their distance in Å.
Positions (direct):
1 I 0.2974 0.2099 0.7269  1 Pt 2.70
2 I 0.2974 0.7269 0.2099  1 Pt 2.70
3 I 0.7026 0.2731 0.7901  1 Pt 2.70
4 I 0.7026 0.7901 0.2731  1 Pt 2.70
5 Tl 0.7736 0.2528 0.2528  1 Br 3.42, 4 I 3.70-3.78
6 Tl 0.2264 0.7472 0.7472  1 Br 3.42, 4 I 3.70-3.78
7 Br 0.7900 0.7612 0.7612  1 Pt 2.51
8 Br 0.2100 0.2388 0.2388  1 Pt 2.51
9 Pt 0.5000 0.0000 0.0000  2 Br 2.51, 4 I 2.70

Values from the calculation:
The formation energy (no corrections) is -0.4348 eV per atom. For the calculated total energy, the calculation gives -24.23 eV/cell. Its symmetry is C2/m, No. 12.

Entry 6:
A plane-wave DFT calculation with PBE-GGA was carried out for a relaxed structure of SrSm4Te5.

Cell: 4.4687 7.8367 10.0503 Å, 74.86 77.15 73.43°
Last column: nearest neighbours and their distance in Å.
Positions (direct):
1 Te 0.6089 0.6828 0.0994  4 Sm 3.17-3.25, 2 Sr 3.26
2 Te 0.1993 0.9099 0.6916  5 Sm 3.16-3.19, 1 Sr 3.23
3 Te 0.3911 0.3172 0.9006  4 Sm 3.17-3.25, 2 Sr 3.26
4 Te 0.0000 0.5000 0.5000  6 Sm 3.06-3.10
5 Te 0.8007 0.0901 0.3084  5 Sm 3.16-3.19, 1 Sr 3.23
6 Sm 0.5942 0.2149 0.5966  6 Te 3.10-3.23
7 Sm 0.1964 0.3914 0.2157  6 Te 3.06-3.25
8 Sm 0.4058 0.7851 0.4034  6 Te 3.10-3.23
9 Sm 0.8036 0.6086 0.7843  6 Te 3.06-3.25
10 Sr 0.0000 0.0000 0.0000  6 Te 3.23-3.26

Values from the calculation:
The formation energy (no corrections) is -1.4440 eV per atom. For the calculated total energy, the calculation gives -50.71 eV/cell. Its symmetry is C2/m, No. 12.

Entry 7:
A plane-wave DFT calculation with PBE-GGA was carried out for a relaxed structure of RbIBr3.

Cell: 6.0832 8.8872 9.3340 Å, 90.00 123.21 90.00°
Last column: nearest neighbours and their distance in Å.
Positions (direct):
1 Br 0.7058 0.4451 0.7544  1 I 2.71
2 Br 0.7991 0.2500 0.2563  2 I 3.04
3 Br 0.7058 0.0550 0.7544  1 I 2.71
4 Br 0.2942 0.5549 0.2456  1 I 2.71
5 Br 0.2942 0.9450 0.2456  1 I 2.71
6 Br 0.2009 0.7500 0.7437  2 I 3.04
7 Rb 0.8118 0.7500 0.2681  5 Br 3.50-3.71
8 Rb 0.1882 0.2500 0.7319  5 Br 3.50-3.71
9 I 0.2933 0.2500 0.2494  2 Br 2.71
10 I 0.7067 0.7500 0.7506  2 Br 2.71

Values from the calculation:
Its energy above the most stable polymorph in this dataset is 0.0000 eV per atom. The formation energy (no corrections) is -0.7283 eV per atom. For the calculated total energy, the calculation gives -22.36 eV/cell. Its symmetry is P2_1/m, No. 11.

Entry 8:
A plane-wave DFT calculation with PBE-GGA was carried out for a relaxed structure of Er2PuPaBi4.

Cell: 4.4717 7.7526 7.7707 Å, 109.29 90.00 90.00°
Last column: nearest neighbours and their distance in Å.
Positions (direct):
1 Bi 0.0000 0.2459 0.7452  3 Er 3.14-3.16, 1 Pa 3.17, 2 Pu 3.20
2 Bi 0.0000 0.7541 0.2548  3 Er 3.14-3.16, 1 Pa 3.17, 2 Pu 3.20
3 Bi 0.5000 0.2496 0.2548  3 Er 3.13-3.16, 2 Pa 3.18, 1 Pu 3.20
4 Bi 0.5000 0.7504 0.7452  3 Er 3.13-3.16, 2 Pa 3.18, 1 Pu 3.20
5 Pa 0.0000 0.0000 0.0000  6 Bi 3.17-3.18
6 Er 0.0000 0.5000 0.5000  6 Bi 3.16
7 Er 0.5000 0.0000 0.5000  6 Bi 3.13-3.14
8 Pu 0.5000 0.5000 0.0000  6 Bi 3.20

Values from the calculation:
As for the formation energy: -0.5140 eV/atom. For the calculated total energy, the calculation gives -52.59 eV/cell. Its symmetry is P2/m, No. 10.

Which value of calculated total energy does entry 1 give?
-30.57 eV/cell